A plane-wave DFT calculation with GGA-PBEsol was carried out for a relaxed structure of MnAsBr2.

Properties
SG: I-4m2
Formation energy without anion corrections: 0.37 eV/atom
ΔE to the lowest computed polymorph: 0 meV per atom

abc: 6.6970 6.6970 6.6970
angles: 146.54 146.54 48.04
Closest atoms and distances in Å follow each position.
Atoms (fractional coordinates):
Mn 0.0000 0.0000 0.0000  4 Br 2.73
As 0.7500 0.2500 0.5000  4 Br 2.73
Br 0.2500 0.7500 0.5000  4 As 2.73
Br 0.5000 0.5000 0.0000  4 Mn 2.73